DFT (PBE) results for a relaxed PmTm3Tl4 crystal.

Structure (CIF):
```
data_PmTm3Tl4
_chemical_formula_sum 'Pm2 Tm6 Tl8'
_symmetry_space_group_name_H-M 'I m m m'
_symmetry_Int_Tables_number 71
_symmetry_space_group_name_Hall '-I 2 2'
_cell_length_a 3.485
_cell_length_b 7.205
_cell_length_c 18.506
_cell_angle_alpha 90.00
_cell_angle_beta 90.00
_cell_angle_gamma 90.00
loop_
_atom_site_label
_atom_site_fract_x
_atom_site_fract_y
_atom_site_fract_z
Pm1 0.000 0.000 0.000
Tm1 0.000 0.000 0.500
Tm2 0.000 0.500 0.280
Tl1 0.000 0.286 0.129
```

E above lowest polymorph: 127 meV/atom
M_tot: 0.01 μB per formula unit
formation energy from the elements: -1.504 eV per formula unit
mass density: 10.50 Mg/m³